Ac3Zn8Cu3: optimized geometry, PBE.

Energy of formation (meV per atom): -226

abc: 16.6344 4.5014 9.0401
angles: 90.00 122.12 90.00
Space group C2/m (No. 12)
Unique sites:
Ac (0.0000, 0.0000, 0.0000) [2 per cell]
Ac (0.2160, 0.5000, 0.6981) [4 per cell]
Zn (0.0042, 0.5000, 0.6695) [4 per cell]
Zn (0.1178, 0.0000, 0.4074) [4 per cell]
Zn (0.1300, 0.0000, 0.8300) [4 per cell]
Zn (0.1569, 0.5000, 0.0063) [4 per cell]
Cu (0.0000, 0.0000, 0.5000) [2 per cell]
Cu (0.1366, 0.5000, 0.2769) [4 per cell]

Ac5ZnCu2: optimized geometry, PBE.

Energy of formation (meV per atom): -77

abc: 8.5786 8.5786 14.0326
angles: 90.00 90.00 90.00
Space group I4/mcm (No. 140)
Unique sites:
Ac (0.0000, 0.0000, 0.0000) [4 per cell]
Ac (0.1576, 0.3424, 0.1438) [16 per cell]
Zn (0.0000, 0.0000, 0.2500) [4 per cell]
Cu (0.1235, 0.3765, 0.5000) [8 per cell]

AcZn2Cu9: optimized geometry, PBE.

Energy of formation (meV per atom): -101

abc: 10.3250 10.3250 6.6865
angles: 90.00 90.00 90.00
Space group I4_1/amd (No. 141, origin choice 2)
Unique sites:
Ac (0.0000, 0.2500, 0.3750) [4 per cell]
Zn (0.0000, 0.0000, 0.0000) [8 per cell]
Cu (0.0000, 0.2500, 0.8750) [4 per cell]
Cu (0.1249, 0.0413, 0.6863) [32 per cell]

Ac5Zn4Cu: optimized geometry, PBE.

Energy of formation (meV per atom): -215

abc: 3.9010 3.9010 19.3867
angles: 90.00 90.00 90.00
Space group P4/mmm (No. 123)
Unique sites:
Ac (0.0000, 0.0000, 0.0000) [1 per cell]
Ac (0.0000, 0.0000, 0.2021) [2 per cell]
Ac (0.0000, 0.0000, 0.4038) [2 per cell]
Zn (0.5000, 0.5000, 0.1010) [2 per cell]
Zn (0.5000, 0.5000, 0.3009) [2 per cell]
Cu (0.5000, 0.5000, 0.5000) [1 per cell]

AcZnCu3: optimized geometry, PBE.

Energy of formation (meV per atom): -162
Polymorph energy (0 for the lowest one) (meV per atom): 0.0

abc: 4.4091 4.4091 9.7908
angles: 90.00 90.00 90.00
Space group I4mm (No. 107)
Unique sites:
Ac (0.0000, 0.0000, 0.0000) [2 per cell]
Zn (0.0000, 0.0000, 0.3680) [2 per cell]
Cu (0.0000, 0.0000, 0.6251) [2 per cell]
Cu (0.0000, 0.5000, 0.2455) [4 per cell]

Ac4ZnCu: optimized geometry, PBE.

Energy of formation (meV per atom): 81
Polymorph energy (0 for the lowest one) (meV per atom): 177.3

abc: 7.5901 7.5899 7.6329
angles: 90.00 90.01 90.00
Space group Cm (No. 8)
Unique sites:
Ac (0.0000, 0.2501, 0.0000) [4 per cell]
Ac (0.0001, 0.2497, 0.4887) [4 per cell]
Zn (0.2498, 0.0000, 0.7445) [2 per cell]
Cu (0.2508, 0.5000, 0.2435) [2 per cell]

AcZnCu: optimized geometry, PBE.

Energy of formation (meV per atom): -31
Polymorph energy (0 for the lowest one) (meV per atom): 216.3

abc: 3.6628 3.6628 10.4853
angles: 90.00 90.00 90.00
Space group I4mm (No. 107)
Unique sites:
Ac (0.0000, 0.0000, 0.0000) [2 per cell]
Zn (0.0000, 0.0000, 0.6998) [2 per cell]
Cu (0.0000, 0.0000, 0.3006) [2 per cell]

Ac3Zn5Cu6: optimized geometry, PBE.

Energy of formation (meV per atom): -199

abc: 4.3655 9.6109 13.0823
angles: 90.00 90.00 90.00
Space group Immm (No. 71)
Unique sites:
Ac (0.0000, 0.0000, 0.0000) [2 per cell]
Ac (0.0000, 0.0000, 0.3083) [4 per cell]
Zn (0.0000, 0.3407, 0.3302) [8 per cell]
Zn (0.0000, 0.5000, 0.0000) [2 per cell]
Cu (0.0000, 0.2069, 0.5000) [4 per cell]
Cu (0.0000, 0.2825, 0.1124) [8 per cell]

AcZn8Cu2: optimized geometry, PBE.

Energy of formation (meV per atom): 183

abc: 5.2676 5.2676 8.8666
angles: 90.00 90.00 90.00
Space group P4/mmm (No. 123)
Unique sites:
Ac (0.0000, 0.0000, 0.0000) [1 per cell]
Zn (0.2520, 0.2520, 0.3070) [8 per cell]
Cu (0.0000, 0.5000, 0.5000) [2 per cell]

Ac2Zn3Cu4: optimized geometry, PBE.

Energy of formation (meV per atom): -135
Polymorph energy (0 for the lowest one) (meV per atom): 0.0

abc: 5.1609 9.9709 13.7447
angles: 90.00 90.00 90.00
Space group Fmmm (No. 69)
Unique sites:
Ac (0.0000, 0.0000, 0.1449) [8 per cell]
Zn (0.0000, 0.0000, 0.5000) [4 per cell]
Zn (0.2500, 0.2500, 0.0000) [8 per cell]
Cu (0.0000, 0.1964, 0.3346) [16 per cell]

AcZn2Cu: optimized geometry, PBE.

Energy of formation (meV per atom): -222
Polymorph energy (0 for the lowest one) (meV per atom): 18.7

abc: 4.5779 9.1806 16.6623
angles: 90.00 90.00 90.00
Space group Immm (No. 71)
Unique sites:
Ac (0.0000, 0.0000, 0.2094) [4 per cell]
Ac (0.0000, 0.2605, 0.0000) [4 per cell]
Zn (0.0000, 0.0000, 0.4117) [4 per cell]
Zn (0.0000, 0.3562, 0.1839) [8 per cell]
Zn (0.0000, 0.5000, 0.4259) [4 per cell]
Cu (0.0000, 0.2599, 0.3478) [8 per cell]

AcZn2Cu: optimized geometry, PBE.

Energy of formation (meV per atom): 13
Polymorph energy (0 for the lowest one) (meV per atom): 253.5

abc: 3.4362 3.4362 7.1172
angles: 90.00 90.00 90.00
Space group P4/mmm (No. 123)
Unique sites:
Ac (0.0000, 0.0000, 0.0000) [1 per cell]
Zn (0.5000, 0.5000, 0.3220) [2 per cell]
Cu (0.0000, 0.0000, 0.5000) [1 per cell]

Computed raw total energy (eV per atom) in order:
-2.713, -3.828, -3.728, -3.188, -3.696, -3.553, -3.191, -3.290, -1.861, -3.294, -2.910, -2.676